Compound: TbPmLuPa
Source: the Alexandria database
Functional: PBE-GGA
Structure: optimized geometry

* DFT formation energy: 373 meV/atom
* space-group type: No. 216

a b c (Å): 5.5772 5.5772 5.5772
angles (deg): 60.00 60.00 60.00
Last column: nearest neighbours and their distance in Å.
Fractional coordinates of all 4 atoms:
1 Tb 0.0000 0.0000 0.0000  4 Pa 3.42, 4 Lu 3.42
2 Pm 0.5000 0.5000 0.5000  4 Pa 3.42, 4 Lu 3.42
3 Lu 0.2500 0.2500 0.2500  4 Tb 3.42, 4 Pm 3.42
4 Pa 0.7500 0.7500 0.7500  4 Tb 3.42, 4 Pm 3.42